# 1
CoHgH3 | GGA-PBE | optimized geometry

The structure belongs to space group Pm-3m (No. 221); the cell edges are 3.742, 3.742 and 3.742 Å and the angles 90.00°, 90.00° and 90.00°. The asymmetric unit holds Co at (0.000, 0.000, 0.000), Hg at (0.500, 0.500, 0.500) and H at (0.000, 0.500, 0.500).

As for the final energy: -2.39 eV per atom. Its energy above the most stable polymorph in this dataset is 0.709 eV per atom. As for the total moment: 1.8 Bohr magnetons per cell.

# 2
LaDyCrN3 | GGA-PBE | optimized geometry

The structure belongs to space group P2_1/m (No. 11); the cell edges are 7.319, 3.439 and 7.669 Å and the angles 90.00°, 100.34° and 90.00°. The asymmetric unit holds La at (0.194, 0.250, 0.192), Dy at (0.170, 0.250, 0.637), Cr at (0.401, 0.750, 0.919), N at (0.151, 0.750, 0.411), N at (0.153, 0.750, 0.865) and N at (0.486, 0.250, 0.842).

As for the final energy: -8.48 eV per atom. As for the total moment: 0.0 Bohr magnetons per cell.

# 3
CsLaCd2Rh | GGA-PBE | optimized geometry

The structure belongs to space group P4/mmm (No. 123); the cell edges are 5.590, 5.590 and 5.191 Å and the angles 90.00°, 90.00° and 90.00°. The asymmetric unit holds Cs at (0.000, 0.000, 0.000), La at (0.500, 0.500, 0.000), Cd at (0.000, 0.500, 0.500) and Rh at (0.500, 0.500, 0.500).

As for the final energy: -3.24 eV per atom. The energy relative to the elements is -0.2479 eV/atom. As for the total moment: 0.0 Bohr magnetons per cell.

# 4
Zn2HAu | GGA-PBE | optimized geometry

The structure belongs to space group Fm-3m (No. 225); the cell edges are 6.115, 6.115 and 6.115 Å and the angles 90.00°, 90.00° and 90.00°. The asymmetric unit holds Zn at (0.250, 0.250, 0.250), H at (0.000, 0.000, 0.000) and Au at (0.000, 0.000, 0.500).

As for the final energy: -1.95 eV per atom. Its energy above the most stable polymorph in this dataset is 0.270 eV per atom. As for the total moment: 0.0 Bohr magnetons per cell.

# 5
NbCu2IrN | GGA-PBE | optimized geometry

The structure belongs to space group P4/mmm (No. 123); the cell edges are 4.560, 4.560 and 4.769 Å and the angles 90.00°, 90.00° and 90.00°. The asymmetric unit holds Nb at (0.000, 0.000, 0.000), Cu at (0.000, 0.500, 0.500), Ir at (0.000, 0.000, 0.500) and N at (0.500, 0.500, 0.000).

As for the final energy: -5.15 eV per atom. As for the total moment: 0.0 Bohr magnetons per cell.

# 6
Tb8Ge3PSe4 | GGA-PBE | optimized geometry

The structure belongs to space group R-3m (No. 166, hexagonal axes); the cell edges are 8.2494, 8.2494 and 20.3377 Å and the angles 90.00°, 90.00° and 120.00°. The asymmetric unit holds Tb at (0.0000, 0.0000, 0.2463), Tb at (0.0015, 0.5007, 0.2449), Ge at (0.0000, 0.5000, 0.5000), P at (0.0000, 0.0000, 0.5000), Se at (0.0000, 0.0000, 0.0000) and Se at (0.0000, 0.5000, 0.0000).

As for the final energy: -5.90 eV per atom. As for the total moment: 0.0 Bohr magnetons per cell.